1.
DFT (GGA-PBEsol) results for LiHfAl2Pb after structural relaxation.

Geometry as CIF:
```
data_LiHfAl2Pb
_cell_length_a 5.1403
_cell_length_b 5.1403
_cell_length_c 4.6090
_cell_angle_alpha 90.00
_cell_angle_beta 90.00
_cell_angle_gamma 90.00
_symmetry_space_group_name_H-M 'P 4/m m m'
_symmetry_Int_Tables_number 123
_symmetry_space_group_name_Hall '-P 4 2'
loop_
_atom_site_label
_atom_site_type_symbol
_atom_site_fract_x
_atom_site_fract_y
_atom_site_fract_z
Li1 Li 0.0000 0.0000 0.0000
Hf1 Hf 0.5000 0.5000 0.0000
Al1 Al 0.0000 0.5000 0.5000
Pb1 Pb 0.0000 0.0000 0.5000
```

Computed properties:
Total magnetic moment = 0.00 μB per formula unit
DFT formation energy = 1.00 eV per atom

2.
DFT (GGA-PBEsol) results for HfMg2Al2 after structural relaxation.

Geometry as CIF:
```
data_HfMg2Al2
_cell_length_a 7.9264
_cell_length_b 7.9264
_cell_length_c 2.9960
_cell_angle_alpha 90.00
_cell_angle_beta 90.00
_cell_angle_gamma 90.00
_symmetry_space_group_name_H-M 'P 4/m b m'
_symmetry_Int_Tables_number 127
_symmetry_space_group_name_Hall '-P 4 2ab'
loop_
_atom_site_label
_atom_site_type_symbol
_atom_site_fract_x
_atom_site_fract_y
_atom_site_fract_z
Hf1 Hf 0.0000 0.0000 0.0000
Mg1 Mg 0.1241 0.3759 0.0000
Al1 Al 0.1753 0.6753 0.5000
```

Computed properties:
Total magnetic moment = 0.00 μB per formula unit
DFT formation energy = 0.08 eV per atom

3.
DFT (GGA-PBEsol) results for HfMgAl3 after structural relaxation.

Geometry as CIF:
```
data_HfMgAl3
_cell_length_a 5.1385
_cell_length_b 5.1385
_cell_length_c 5.1385
_cell_angle_alpha 90.00
_cell_angle_beta 90.00
_cell_angle_gamma 90.00
_symmetry_space_group_name_H-M 'P m -3 m'
_symmetry_Int_Tables_number 221
_symmetry_space_group_name_Hall '-P 4 2 3'
loop_
_atom_site_label
_atom_site_type_symbol
_atom_site_fract_x
_atom_site_fract_y
_atom_site_fract_z
Hf1 Hf 0.0000 0.0000 0.0000
Mg1 Mg 0.5000 0.5000 0.5000
Al1 Al 0.0000 0.0000 0.5000
```

Computed properties:
Total magnetic moment = 0.00 μB per formula unit
DFT formation energy = 0.92 eV per atom
Offset from the most stable computed form = 0.000 eV/atom

4.
DFT (GGA-PBEsol) results for HfMgAl3 after structural relaxation.

Geometry as CIF:
```
data_HfMgAl3
_cell_length_a 4.7653
_cell_length_b 4.7653
_cell_length_c 4.7653
_cell_angle_alpha 90.00
_cell_angle_beta 90.00
_cell_angle_gamma 90.00
_symmetry_space_group_name_H-M 'P m -3 m'
_symmetry_Int_Tables_number 221
_symmetry_space_group_name_Hall '-P 4 2 3'
loop_
_atom_site_label
_atom_site_type_symbol
_atom_site_fract_x
_atom_site_fract_y
_atom_site_fract_z
Hf1 Hf 0.0000 0.0000 0.0000
Mg1 Mg 0.5000 0.5000 0.5000
Al1 Al 0.0000 0.5000 0.5000
```

Computed properties:
Total magnetic moment = 0.00 μB per formula unit
DFT formation energy = 1.02 eV per atom
Offset from the most stable computed form = 0.100 eV/atom

5.
DFT (GGA-PBEsol) results for HfMg16Al12 after structural relaxation.

Geometry as CIF:
```
data_HfMg16Al12
_cell_length_a 14.9502
_cell_length_b 14.9502
_cell_length_c 8.7407
_cell_angle_alpha 90.00
_cell_angle_beta 90.00
_cell_angle_gamma 120.00
_symmetry_space_group_name_H-M 'R 3 m'
_symmetry_Int_Tables_number 160
_symmetry_space_group_name_Hall 'R 3 -2"'
loop_
_atom_site_label
_atom_site_type_symbol
_atom_site_fract_x
_atom_site_fract_y
_atom_site_fract_z
Hf1 Hf 0.0000 0.0000 0.0000
Mg1 Mg 0.0000 0.0000 0.6333
Mg2 Mg 0.0329 0.3604 0.9907
Mg3 Mg 0.1072 0.5536 0.1779
Mg4 Mg 0.1087 0.2174 0.1238
Mg5 Mg 0.1981 0.3961 0.7466
Al1 Al 0.0012 0.1793 0.8178
Al2 Al 0.1210 0.0605 0.3118
Al3 Al 0.2121 0.4242 0.2258
```

Computed properties:
Total magnetic moment = 0.00 μB per formula unit
DFT formation energy = -0.03 eV per atom

6.
DFT (GGA-PBEsol) results for YHf2MnAl after structural relaxation.

Geometry as CIF:
```
data_YHf2MnAl
_cell_length_a 5.1006
_cell_length_b 5.1006
_cell_length_c 4.4750
_cell_angle_alpha 90.00
_cell_angle_beta 90.00
_cell_angle_gamma 90.00
_symmetry_space_group_name_H-M 'P 4/m m m'
_symmetry_Int_Tables_number 123
_symmetry_space_group_name_Hall '-P 4 2'
loop_
_atom_site_label
_atom_site_type_symbol
_atom_site_fract_x
_atom_site_fract_y
_atom_site_fract_z
Y1 Y 0.0000 0.0000 0.0000
Hf1 Hf 0.0000 0.5000 0.0000
Mn1 Mn 0.0000 0.0000 0.5000
Al1 Al 0.5000 0.5000 0.5000
```

Computed properties:
Total magnetic moment = 2.36 μB per formula unit
DFT formation energy = 1.64 eV per atom

7.
DFT (GGA-PBEsol) results for Hf3AlMo after structural relaxation.

Geometry as CIF:
```
data_Hf3AlMo
_cell_length_a 4.8043
_cell_length_b 4.8043
_cell_length_c 4.8043
_cell_angle_alpha 90.00
_cell_angle_beta 90.00
_cell_angle_gamma 90.00
_symmetry_space_group_name_H-M 'P m -3 m'
_symmetry_Int_Tables_number 221
_symmetry_space_group_name_Hall '-P 4 2 3'
loop_
_atom_site_label
_atom_site_type_symbol
_atom_site_fract_x
_atom_site_fract_y
_atom_site_fract_z
Hf1 Hf 0.0000 0.0000 0.5000
Al1 Al 0.0000 0.0000 0.0000
Mo1 Mo 0.5000 0.5000 0.5000
```

Computed properties:
Total magnetic moment = 0.00 μB per formula unit
DFT formation energy = 1.29 eV per atom

8.
DFT (GGA-PBEsol) results for HfAlMo after structural relaxation.

Geometry as CIF:
```
data_HfAlMo
_cell_length_a 8.6583
_cell_length_b 5.2254
_cell_length_c 9.0937
_cell_angle_alpha 90.00
_cell_angle_beta 90.00
_cell_angle_gamma 90.00
_symmetry_space_group_name_H-M 'A m m 2'
_symmetry_Int_Tables_number 38
loop_
_symmetry_equiv_pos_as_xyz
'x,y,z'
'-x,-y,z'
'-x,y,z'
'x,-y,z'
'x,y+1/2,z+1/2'
'-x,-y+1/2,z+1/2'
'-x,y+1/2,z+1/2'
'x,-y+1/2,z+1/2'
loop_
_atom_site_label
_atom_site_type_symbol
_atom_site_fract_x
_atom_site_fract_y
_atom_site_fract_z
Hf1 Hf 0.1840 0.0000 0.0000
Hf2 Hf 0.3136 0.0000 0.3354
Al1 Al 0.2505 0.0000 0.6740
Al2 Al 0.5000 0.2447 0.0840
Mo1 Mo 0.0000 0.0000 0.5016
Mo2 Mo 0.0000 0.2427 0.2577
Mo3 Mo 0.5000 0.0000 0.8387
```

Computed properties:
Total magnetic moment = 0.00 μB per formula unit
DFT formation energy = -0.32 eV per atom

Q: What is the formula in the fourth record?
A: HfMgAl3

Q: The lowest DFT formation energy belongs to which entry?
A: HfAlMo